A plane-wave DFT calculation with PBE-GGA was carried out for crystalline Al2ZnBi at its relaxed geometry.

The energy of formation from the pure elements comes out at 93.3 kJ/mol of formula units. The value obtained for the offset from the most stable computed form is 0.000 eV per atom. The value obtained for the total magnetic moment is 0.00 μB/cell.

The structure belongs to space group R-3m (No. 166, hexagonal axes); the cell edges are 3.2099, 3.2099 and 29.8811 Å and the angles 90.00°, 90.00° and 120.00°. Symmetry generates all atoms from Al at (0.0000, 0.0000, 0.0984), Zn at (0.0000, 0.0000, 0.5000) and Bi at (0.0000, 0.0000, 0.0000).


A plane-wave DFT calculation with PBE-GGA was carried out for crystalline Ac2ZnInRh at its relaxed geometry.

The energy of formation from the pure elements comes out at -243.3 kJ/mol of formula units. The value obtained for the total magnetic moment is 0.00 μB/cell.

The structure belongs to space group P2_1/m (No. 11); the cell edges are 7.5673, 4.6790 and 8.3450 Å and the angles 90.00°, 107.86° and 90.00°. Symmetry generates all atoms from Ac at (0.1371, 0.2500, 0.3418), Ac at (0.2796, 0.2500, 0.9478), Zn at (0.4405, 0.7500, 0.3160), In at (0.3450, 0.7500, 0.6498) and Rh at (0.1202, 0.7500, 0.0867).


A plane-wave DFT calculation with PBE-GGA was carried out for crystalline TaIn2F8 at its relaxed geometry.

The value obtained for the total magnetic moment is 0.00 μB/cell. As for the uncorrected formation energy: -2.68 eV/atom.

The structure belongs to space group P-1 (No. 2); the cell edges are 4.7883, 5.6764 and 7.7102 Å and the angles 70.36°, 88.40° and 73.03°. Symmetry generates all atoms from Ta at (0.0000, 0.0000, 0.0000), In at (0.3195, 0.2825, 0.4407), F at (0.1257, 0.1841, 0.1357), F at (0.1862, 0.6235, 0.5410), F at (0.2771, 0.0709, 0.8189) and F at (0.2805, 0.6711, 0.1474).


A plane-wave DFT calculation with PBE-GGA was carried out for crystalline Al2AgRu2 at its relaxed geometry.

The energy of formation from the pure elements comes out at -87.8 kJ/mol of formula units. The value obtained for the offset from the most stable computed form is 0.082 eV per atom. The value obtained for the total magnetic moment is 0.00 μB/cell.

The structure belongs to space group P4/mbm (No. 127); the cell edges are 7.1800, 7.1800 and 2.9696 Å and the angles 90.00°, 90.00° and 90.00°. Symmetry generates all atoms from Al at (0.1624, 0.3376, 0.0000), Ag at (0.0000, 0.0000, 0.5000) and Ru at (0.1337, 0.6337, 0.5000).


A plane-wave DFT calculation with PBE-GGA was carried out for crystalline SrP2Se at its relaxed geometry.

The value obtained for the total magnetic moment is 0.00 μB/cell. As for the uncorrected formation energy: -0.16 eV/atom.

The structure belongs to space group P4/mmm (No. 123); the cell edges are 3.9645, 3.9645 and 5.7895 Å and the angles 90.00°, 90.00° and 90.00°. Symmetry generates all atoms from Sr at (0.0000, 0.0000, 0.0000), P at (0.5000, 0.5000, 0.3131) and Se at (0.0000, 0.0000, 0.5000).


A plane-wave DFT calculation with PBE-GGA was carried out for crystalline KSr3Ir at its relaxed geometry.

The energy of formation from the pure elements comes out at 66.5 kJ/mol of formula units. The value obtained for the offset from the most stable computed form is 0.238 eV per atom. The value obtained for the total magnetic moment is 0.00 μB/cell.

The structure belongs to space group P6_3/mmc (No. 194); the cell edges are 5.8690, 5.8690 and 12.3069 Å and the angles 90.00°, 90.00° and 120.00°. Symmetry generates all atoms from K at (0.3333, 0.6667, 0.2500), Sr at (0.0000, 0.0000, 0.2500), Sr at (0.3333, 0.6667, 0.5568) and Ir at (0.0000, 0.0000, 0.0000).


A plane-wave DFT calculation with PBE-GGA was carried out for crystalline ZrTlMo2 at its relaxed geometry.

The energy of formation from the pure elements comes out at 393.8 kJ/mol of formula units. The value obtained for the offset from the most stable computed form is 0.877 eV per atom. The value obtained for the total magnetic moment is 0.00 μB/cell.

The structure belongs to space group I-42d (No. 122); the cell edges are 7.5951, 7.5951 and 5.7108 Å and the angles 90.00°, 90.00° and 90.00°. Symmetry generates all atoms from Zr at (0.0000, 0.0000, 0.0000), Tl at (0.0000, 0.0000, 0.5000) and Mo at (0.2470, 0.7500, 0.1250).


A plane-wave DFT calculation with PBE-GGA was carried out for crystalline Si4AsP at its relaxed geometry.

The value obtained for the total magnetic moment is 0.00 μB/cell. As for the uncorrected formation energy: 0.69 eV/atom.

The structure belongs to space group F-43m (No. 216); the cell edges are 7.2538, 7.2538 and 7.2538 Å and the angles 90.00°, 90.00° and 90.00°. Symmetry generates all atoms from Si at (0.1245, 0.1245, 0.3755), As at (0.0000, 0.0000, 0.0000) and P at (0.2500, 0.2500, 0.7500).


The following N(E_F) values (in states/eV/cell) correspond, in order, to the records above: 4.9, 6.5, 2.2, 9.5, 2.3, 6.9, 22.5, 14.7.
The following volume values (in Å³/atom) correspond, in order, to the records above: 22.2, 28.1, 17.1, 15.3, 22.7, 36.7, 20.6, 15.9.